# Rb2HAuSe | Alexandria via LeMat-Bulk | PBE | optimized geometry
data_Rb2HAuSe
_chemical_formula_sum 'Rb4 H2 Au2 Se2'
_cell_length_a 3.776
_cell_length_b 5.614
_cell_length_c 13.930
_cell_angle_alpha 90.00
_cell_angle_beta 90.00
_cell_angle_gamma 90.00
_symmetry_space_group_name_H-M 'I m m 2'
_symmetry_Int_Tables_number 44
loop_
_symmetry_equiv_pos_as_xyz
'x,y,z'
'-x,-y,z'
'-x,y,z'
'x,-y,z'
'x+1/2,y+1/2,z+1/2'
'-x+1/2,-y+1/2,z+1/2'
'-x+1/2,y+1/2,z+1/2'
'x+1/2,-y+1/2,z+1/2'
loop_
_atom_site_label
_atom_site_type_symbol
_atom_site_fract_x
_atom_site_fract_y
_atom_site_fract_z
_atom_site_occupancy
Rb1 Rb 0.000 0.000 0.000 1
Rb2 Rb 0.000 0.000 0.299 1
H1 H 0.000 0.500 0.047 1
Au1 Au 0.000 0.000 0.573 1
Se1 Se 0.000 0.000 0.762 1
# **E**: -0.102 Ha/atom
# **Relative energy among the computed polymorphs**: 0.47 eV/f.u.